NbVSe4: relaxed, GGA-PBE.

Cell and atoms, written as CIF:
```
data_NbVSe4
_chemical_formula_sum 'Nb4 V4 Se16'
_cell_length_a 8.235
_cell_length_b 14.549
_cell_length_c 5.860
_cell_angle_alpha 90.00
_cell_angle_beta 134.20
_cell_angle_gamma 90.00
_symmetry_space_group_name_H-M 'C 1 2/c 1'
_symmetry_Int_Tables_number 15
loop_
_symmetry_equiv_pos_as_xyz
'x,y,z'
'-x,-y,-z'
'-x,y,-z+1/2'
'x,-y,z+1/2'
'x+1/2,y+1/2,z'
'-x+1/2,-y+1/2,-z'
'-x+1/2,y+1/2,-z+1/2'
'x+1/2,-y+1/2,z+1/2'
loop_
_atom_site_label
_atom_site_type_symbol
_atom_site_fract_x
_atom_site_fract_y
_atom_site_fract_z
_atom_site_occupancy
Nb1 Nb 0.000 0.050 0.250 1
V1 V 0.000 0.299 0.750 1
Se1 Se 0.181 0.195 0.207 1
Se2 Se 0.209 0.440 0.140 1
```

Calculated values
Energy = -36.8 eV per formula unit
Calculated density = 6.1 g/cm3
M_tot = 5.5 μB per cell
Uncorrected formation energy = -0.605 eV per atom